(1)
VASP calculation (PBE) on a relaxed structure of Ti2SiTeH.

- symmetry = P4/mmm

```
Ti2SiTeH
1.0
-4.412 0.021 1.281
-0.066 -3.454 -0.172
1.279 -0.244 4.406
H Si Te Ti
1 1 1 2
Direct
0.000 0.000 0.000
0.000 0.500 0.000
0.500 0.500 0.500
0.000 0.000 0.500
0.500 0.000 0.000
```

(2)
VASP calculation (PBE) on a relaxed structure of Tm8Si3Te4H.

- symmetry = R-3m

```
Tm8Si3Te4H
1.0
8.234 0.000 0.000
0.000 8.406 0.115
-4.117 -4.112 5.826
Tm Si Te H
8 3 4 1
Direct
0.243 0.717 0.975
0.243 0.717 0.485
0.261 0.284 0.522
0.732 0.717 0.975
0.268 0.283 0.025
0.739 0.716 0.478
0.757 0.283 0.515
0.757 0.283 0.025
0.500 0.500 0.000
0.500 0.500 0.500
0.000 0.500 0.500
0.500 0.000 0.000
0.500 0.000 0.500
0.000 0.000 0.000
0.000 0.000 0.500
0.000 0.500 0.000
```

Number 1: E_tot -28.0 eV for the cell shown, N(E_F) 0.6759 states/eV per atom. Number 2: E_tot -83.0 eV for the cell shown, N(E_F) 0.4150 states/eV per atom.